(1)
## Mg5Tl6Pb (PBE)

Data for an optimized crystal structure of Mg5Tl6Pb.

Results
Magnetic moment = 0.00 Bohr magnetons per cell

abc: 5.504 15.776 7.262
angles: 90.00 91.03 90.00
Space group C2/m (No. 12)
One atom of each set of equivalent atoms:
Mg (0.000, 0.000, 0.000) x2
Mg (0.000, 0.337, 0.500) x4
Mg (0.000, 0.338, 0.000) x4
Tl (0.001, 0.500, 0.760) x4
Tl (0.002, 0.175, 0.242) x8
Pb (0.000, 0.000, 0.500) x2

(2)
## Mg8Tl5Pb (PBE)

Data for an optimized crystal structure of Mg8Tl5Pb.

Results
Magnetic moment = 0.00 Bohr magnetons per cell

abc: 8.908 8.908 8.987
angles: 90.00 90.00 90.00
Space group I-4 (No. 82)
One atom of each set of equivalent atoms:
Mg (0.074, 0.171, 0.320) x8
Mg (0.090, 0.332, 0.981) x8
Tl (0.000, 0.500, 0.250) x2
Tl (0.123, 0.267, 0.652) x8
Pb (0.000, 0.000, 0.000) x2

(3)
## Mg4TlPb6 (PBE)

Data for an optimized crystal structure of Mg4TlPb6.

Results
Magnetic moment = 0.00 Bohr magnetons per cell

abc: 10.1922 10.1922 3.4734
angles: 90.00 90.00 120.00
Space group P-6m2 (No. 187)
One atom of each set of equivalent atoms:
Mg (0.0000, 0.0000, 0.0000) x1
Mg (0.5045, 0.0090, 0.5000) x3
Tl (0.6667, 0.3333, 0.0000) x1
Pb (0.2036, 0.4072, 0.0000) x3
Pb (0.2930, 0.1465, 0.5000) x3

(4)
## Mg2TlPb7 (PBE)

Data for an optimized crystal structure of Mg2TlPb7.

Results
Magnetic moment = 0.00 Bohr magnetons per cell

abc: 9.528 15.940 4.596
angles: 90.00 90.00 90.00
Space group Cmmm (No. 65)
One atom of each set of equivalent atoms:
Mg (0.000, 0.185, 0.000) x4
Tl (0.000, 0.500, 0.500) x2
Pb (0.000, 0.000, 0.000) x2
Pb (0.000, 0.297, 0.500) x4
Pb (0.196, 0.389, 0.000) x8

(5)
## Mg7Tl3Pb2 (PBE)

Data for an optimized crystal structure of Mg7Tl3Pb2.

Results
Magnetic moment = 0.00 Bohr magnetons per cell
Energy above the most stable polymorph in this dataset = 0.000 eV/atom

abc: 4.956 3.652 17.640
angles: 90.00 97.17 90.00
Space group P2/m (No. 10)
One atom of each set of equivalent atoms:
Mg (0.000, 0.000, 0.000) x1
Mg (0.092, 0.500, 0.161) x2
Mg (0.273, 0.500, 0.552) x2
Mg (0.419, 0.000, 0.866) x2
Tl (0.199, 0.000, 0.389) x2
Tl (0.500, 0.500, 0.000) x1
Pb (0.357, 0.500, 0.724) x2

(6)
## Mg7TlPb3 (PBE)

Data for an optimized crystal structure of Mg7TlPb3.

Results
Magnetic moment = 0.00 Bohr magnetons per cell

abc: 10.697 11.314 5.713
angles: 90.00 121.28 90.00
Space group C2/m (No. 12)
One atom of each set of equivalent atoms:
Mg (0.000, 0.000, 0.000) x2
Mg (0.168, 0.265, 0.668) x8
Mg (0.181, 0.500, 0.176) x4
Tl (0.000, 0.000, 0.500) x2
Pb (0.000, 0.267, 0.000) x4
Pb (0.000, 0.500, 0.500) x2

(7)
## Mg5Tl2Pb (PBE)

Data for an optimized crystal structure of Mg5Tl2Pb.

Results
Magnetic moment = 0.00 Bohr magnetons per cell

abc: 4.766 4.766 17.308
angles: 90.00 90.00 90.00
Space group I4/mmm (No. 139)
One atom of each set of equivalent atoms:
Mg (0.000, 0.000, 0.000) x2
Mg (0.000, 0.500, 0.126) x8
Tl (0.000, 0.000, 0.247) x4
Pb (0.000, 0.000, 0.500) x2

(8)
## Mg6Tl3Pb (PBE)

Data for an optimized crystal structure of Mg6Tl3Pb.

Results
Magnetic moment = 0.00 Bohr magnetons per cell
Energy above the most stable polymorph in this dataset = 0.000 eV/atom

abc: 8.935 5.188 11.080
angles: 90.00 106.32 90.00
Space group P2_1/m (No. 11)
One atom of each set of equivalent atoms:
Mg (0.052, 0.250, 0.406) x2
Mg (0.143, 0.750, 0.199) x2
Mg (0.249, 0.250, 0.992) x2
Mg (0.343, 0.750, 0.799) x2
Mg (0.348, 0.250, 0.294) x2
Mg (0.439, 0.250, 0.594) x2
Tl (0.035, 0.750, 0.891) x2
Tl (0.148, 0.250, 0.698) x2
Tl (0.265, 0.750, 0.494) x2
Pb (0.443, 0.750, 0.111) x2

Sequential ρ output: 8.190 6.630 8.209 8.104 6.278 5.598 6.230 6.510 g cm⁻³
Sequential electronic total energy output: -2.163 -2.016 -2.811 -2.949 -2.116 -2.200 -2.081 -2.066 eV per atom
Sequential V output: 315.3 356.5 312.5 349.0 316.8 295.5 196.6 246.5 Å³/f.u.